Record 1
ZrGePd2: optimized geometry, PBE-GGA.

formation energy: -0.427 eV per atom
crystal system: tetragonal
spin magnetization: 0.000 μB/f.u.

a = 3.9732 Å, b = 3.9732 Å, c = 18.4488 Å
α = 90.00°, β = 90.00°, γ = 90.00°
Space group I-42d (No. 122)
One atom of each set of equivalent atoms:
Zr1 0.0000 0.0000 0.0000 [4 per cell]
Ge1 0.0000 0.0000 0.5000 [4 per cell]
Pd1 0.2363 0.2500 0.6250 [8 per cell]

***

Record 2
ZrGe2Pd7: optimized geometry, PBE-GGA.

formation energy: -0.617 eV per atom
crystal system: tetragonal
E above lowest polymorph: 0.0 kJ per mole of atoms
spin magnetization: 0.000 μB/f.u.

a = 4.0526 Å, b = 4.0526 Å, c = 20.2958 Å
α = 90.00°, β = 90.00°, γ = 90.00°
Space group I4/mmm (No. 139)
One atom of each set of equivalent atoms:
Zr1 0.0000 0.0000 0.0000 [2 per cell]
Ge1 0.0000 0.0000 0.3256 [4 per cell]
Pd1 0.0000 0.0000 0.5000 [2 per cell]
Pd2 0.0000 0.5000 0.0998 [8 per cell]
Pd3 0.0000 0.5000 0.2500 [4 per cell]

***

Record 3
ZrGePd: optimized geometry, PBE-GGA.

formation energy: -0.537 eV per atom
crystal system: tetragonal
spin magnetization: 0.000 μB/f.u.

a = 3.1300 Å, b = 3.1300 Å, c = 10.6832 Å
α = 90.00°, β = 90.00°, γ = 90.00°
Space group I4mm (No. 107)
One atom of each set of equivalent atoms:
Zr1 0.0000 0.0000 0.0000 [2 per cell]
Ge1 0.0000 0.0000 0.6769 [2 per cell]
Pd1 0.0000 0.0000 0.3091 [2 per cell]

***

Record 4
Zr2GePd2: optimized geometry, PBE-GGA.

formation energy: -0.591 eV per atom
crystal system: tetragonal
spin magnetization: 0.000 μB/f.u.

a = 7.2874 Å, b = 7.2874 Å, c = 3.5426 Å
α = 90.00°, β = 90.00°, γ = 90.00°
Space group P4/mbm (No. 127)
One atom of each set of equivalent atoms:
Zr1 0.1723 0.3277 0.0000 [4 per cell]
Ge1 0.0000 0.0000 0.5000 [2 per cell]
Pd1 0.1303 0.6303 0.5000 [4 per cell]

***

Which value of formation energy does entry 4 give?
-0.591 eV per atom

***

Copy entry 2 word for word.
ZrGe2Pd7: optimized geometry, PBE-GGA.

formation energy: -0.617 eV per atom
crystal system: tetragonal
E above lowest polymorph: 0.0 kJ per mole of atoms
spin magnetization: 0.000 μB/f.u.

a = 4.0526 Å, b = 4.0526 Å, c = 20.2958 Å
α = 90.00°, β = 90.00°, γ = 90.00°
Space group I4/mmm (No. 139)
One atom of each set of equivalent atoms:
Zr1 0.0000 0.0000 0.0000 [2 per cell]
Ge1 0.0000 0.0000 0.3256 [4 per cell]
Pd1 0.0000 0.0000 0.5000 [2 per cell]
Pd2 0.0000 0.5000 0.0998 [8 per cell]
Pd3 0.0000 0.5000 0.2500 [4 per cell]